Entry 1:
VASP calculation (PBE-GGA) on CsHoErTe3 after structural relaxation.

Summary:
**Formation energy (no corrections)**: -7.32 eV per formula unit
**Symmetry**: P2_1/m

a = 4.882 Å, b = 9.674 Å, c = 11.529 Å
α = 116.32°, β = 90.00°, γ = 90.00°
Element x y z (fractional)
Ho 0.750 0.331 0.882
Ho 0.250 0.669 0.118
Te 0.250 0.779 0.460
Te 0.250 0.115 0.878
Te 0.250 0.495 0.828
Te 0.750 0.885 0.122
Te 0.750 0.505 0.172
Te 0.750 0.221 0.540
Cs 0.750 0.761 0.750
Cs 0.250 0.239 0.250
Er 0.250 0.129 0.628
Er 0.750 0.871 0.372

=====

Entry 2:
VASP calculation (PBE-GGA) on SrBe3Tl after structural relaxation.

Summary:
**Symmetry**: Pm-3m
**Formation enthalpy at 0 K**: 0.84 eV/atom
**E above lowest polymorph**: 0.0000 eV per atom

a = 4.702 Å, b = 4.702 Å, c = 4.702 Å
α = 90.00°, β = 90.00°, γ = 90.00°
Element x y z (fractional)
Be 0.000 0.000 0.500
Be 0.000 0.500 0.000
Be 0.500 0.000 0.000
Sr 0.500 0.500 0.500
Tl 0.000 0.000 0.000

=====

Entry 3:
VASP calculation (PBE-GGA) on AcYNiGe after structural relaxation.

Summary:
**Symmetry**: F-43m
**Formation enthalpy at 0 K**: -0.38 eV/atom

a = 5.184 Å, b = 5.184 Å, c = 5.184 Å
α = 60.00°, β = 60.00°, γ = 60.00°
Element x y z (fractional)
Y 0.500 0.500 0.500
Ge 0.750 0.750 0.750
Ni 0.250 0.250 0.250
Ac 0.000 0.000 0.000

=====

Entry 4:
VASP calculation (PBE-GGA) on AcLaIn2 after structural relaxation.

Summary:
**Symmetry**: P2_1/m
**Formation enthalpy at 0 K**: -0.45 eV/atom

a = 4.656 Å, b = 4.893 Å, c = 11.803 Å
α = 89.97°, β = 101.33°, γ = 90.00°
Last column: magnetic moment on the atom in μB.
Element x y z (fractional)
La 0.546 0.251 0.092  -0.01
La 0.454 0.749 0.908  -0.01
In 0.845 0.750 0.690  0.00
In 0.070 0.751 0.141  0.00
In 0.155 0.250 0.310  0.00
In 0.930 0.249 0.859  0.00
Ac 0.691 0.750 0.384  -0.05
Ac 0.309 0.250 0.616  -0.05

=====

Entry 5:
VASP calculation (PBE-GGA) on Ba3SeCl after structural relaxation.

Summary:
**Formation energy (no corrections)**: -4.89 eV per formula unit
**Symmetry**: Pm-3m
**E above lowest polymorph**: 0.0000 eV per atom

a = 6.333 Å, b = 6.333 Å, c = 6.333 Å
α = 90.00°, β = 90.00°, γ = 90.00°
Last column: magnetic moment on the atom in μB.
Element x y z (fractional)
Se 0.000 0.000 0.000  0.00
Cl 0.500 0.500 0.500  0.04
Ba 0.000 0.500 0.000  0.15
Ba 0.500 0.000 0.000  0.11
Ba 0.000 0.000 0.500  0.16

=====

Entry 6:
VASP calculation (PBE-GGA) on MnV2Co after structural relaxation.

Summary:
**Symmetry**: P4/mmm
**Formation enthalpy at 0 K**: -0.17 eV/atom

a = 2.894 Å, b = 2.894 Å, c = 5.728 Å
α = 90.00°, β = 90.00°, γ = 90.00°
Last column: magnetic moment on the atom in μB.
Element x y z (fractional)
V 0.000 0.000 0.755  0.36
V 0.000 0.000 0.245  0.36
Co 0.500 0.500 0.500  1.17
Mn 0.500 0.500 0.000  -0.27

=====

Entry 7:
VASP calculation (PBE-GGA) on MgPdAu after structural relaxation.

Summary:
**Symmetry**: P3m1
**Formation enthalpy at 0 K**: -0.47 eV/atom
**E above lowest polymorph**: 0.1103 eV per atom

a = 2.929 Å, b = 4.471 Å, c = 4.471 Å
α = 120.00°, β = 90.00°, γ = 90.00°
Element x y z (fractional)
Pd 0.373 0.333 0.667
Mg 0.650 0.667 0.333
Au 0.977 0.000 0.000

=====

Entry 8:
VASP calculation (PBE-GGA) on RbNp2NO5 after structural relaxation.

Summary:
**Formation energy (no corrections)**: -20.29 eV per formula unit
**Symmetry**: P4/mmm

a = 4.237 Å, b = 4.237 Å, c = 8.349 Å
α = 90.00°, β = 90.00°, γ = 90.00°
Last column: magnetic moment on the atom in μB.
Element x y z (fractional)
O 0.500 0.000 0.750  -0.06
O 0.000 0.500 0.750  -0.06
O 0.500 0.000 0.250  -0.06
O 0.000 0.000 0.500  -0.05
O 0.000 0.500 0.250  -0.06
Rb 0.500 0.500 0.500  0.00
Np 0.000 0.000 0.241  1.22
Np 0.000 0.000 0.759  1.22
N 0.000 0.000 0.000  -0.12

=====

Entry 9:
VASP calculation (PBE-GGA) on Ba2CaZr after structural relaxation.

Summary:
**Symmetry**: R-3m
**Formation enthalpy at 0 K**: 0.44 eV/atom
**E above lowest polymorph**: 0.0318 eV per atom

a = 12.990 Å, b = 12.990 Å, c = 12.990 Å
α = 16.91°, β = 16.91°, γ = 16.91°
Element x y z (fractional)
Ca 0.250 0.250 0.250
Zr 0.750 0.750 0.750
Ba 0.009 0.009 0.009
Ba 0.491 0.491 0.491

=====

Entry 10:
VASP calculation (PBE-GGA) on Cs2LiPaCl6 after structural relaxation.

Summary:
**Formation energy (no corrections)**: -18.29 eV per formula unit
**Symmetry**: R-3m

a = 7.689 Å, b = 7.689 Å, c = 13.607 Å
α = 73.59°, β = 73.59°, γ = 60.00°
Last column: magnetic moment on the atom in μB.
Element x y z (fractional)
Cl 0.618 0.131 0.634  0.01
Cl 0.131 0.618 0.634  0.01
Cl 0.382 0.869 0.366  0.01
Cl 0.298 0.788 0.125  -0.01
Cl 0.788 0.298 0.125  -0.01
Cl 0.869 0.382 0.366  0.01
Cl 0.618 0.618 0.634  0.01
Cl 0.702 0.212 0.875  -0.01
Cl 0.382 0.382 0.366  0.01
Cl 0.788 0.788 0.125  -0.01
Cl 0.212 0.212 0.875  -0.01
Cl 0.212 0.702 0.875  -0.01
Cs 0.124 0.124 0.628  0.00
Cs 0.286 0.286 0.142  0.00
Cs 0.714 0.714 0.858  0.00
Cs 0.876 0.876 0.372  0.00
Pa 0.000 0.000 0.000  1.96
Pa 0.500 0.500 0.500  -1.86
Li 0.593 0.593 0.222  0.00
Li 0.407 0.407 0.778  0.00

=====

Please write out number 6 again, unchanged.
VASP calculation (PBE-GGA) on MnV2Co after structural relaxation.

Summary:
**Symmetry**: P4/mmm
**Formation enthalpy at 0 K**: -0.17 eV/atom

a = 2.894 Å, b = 2.894 Å, c = 5.728 Å
α = 90.00°, β = 90.00°, γ = 90.00°
Last column: magnetic moment on the atom in μB.
Element x y z (fractional)
V 0.000 0.000 0.755  0.36
V 0.000 0.000 0.245  0.36
Co 0.500 0.500 0.500  1.17
Mn 0.500 0.500 0.000  -0.27

=====

Question: Which formula does entry 4 have?
Answer: AcLaIn2

=====

Question: What is the formula in the second record?
Answer: SrBe3Tl